# 1
# CrCu4NiSn2 | Alexandria via LeMat-Bulk | PBE | optimized geometry
data_CrCu4NiSn2
_space_group_name_H-M_alt 'P 1'
_space_group_IT_number 1
_cell_length_a 7.536
_cell_length_b 7.536
_cell_length_c 7.536
_cell_angle_alpha 33.69
_cell_angle_beta 33.69
_cell_angle_gamma 33.69
loop_
_space_group_symop_operation_xyz
'x,y,z'
loop_
_atom_site_label
_atom_site_fract_x
_atom_site_fract_y
_atom_site_fract_z
Cu1 0.622 0.622 0.622
Cu2 0.378 0.378 0.378
Cu3 0.127 0.127 0.127
Cu4 0.873 0.873 0.873
Sn1 0.749 0.749 0.749
Sn2 0.251 0.251 0.251
Cr1 0.000 0.000 0.000
Ni1 0.500 0.500 0.500
# Crystal system: trigonal
# Space group: R-3m (166)
# ΔH_f (0 K), kJ/mol of formula units: 98

# 2
# Sr2CrCuNi | Alexandria via LeMat-Bulk | PBE | optimized geometry
data_Sr2CrCuNi
_space_group_name_H-M_alt 'P 1'
_space_group_IT_number 1
_cell_length_a 5.940
_cell_length_b 4.291
_cell_length_c 5.940
_cell_angle_alpha 90.00
_cell_angle_beta 90.00
_cell_angle_gamma 90.00
loop_
_space_group_symop_operation_xyz
'x,y,z'
loop_
_atom_site_label
_atom_site_fract_x
_atom_site_fract_y
_atom_site_fract_z
Cr1 0.000 0.000 0.000
Ni1 0.000 0.500 0.000
Cu1 0.500 0.500 0.500
Sr1 0.500 0.000 0.000
Sr2 0.000 0.000 0.500
# Crystal system: tetragonal
# Space group: P4/mmm (123)
# ΔH_f (0 K), kJ/mol of formula units: 354

# 3
# ZnCrCuNi | Alexandria via LeMat-Bulk | PBE | optimized geometry
data_ZnCrCuNi
_space_group_name_H-M_alt 'P 1'
_space_group_IT_number 1
_cell_length_a 4.153
_cell_length_b 4.153
_cell_length_c 4.153
_cell_angle_alpha 60.00
_cell_angle_beta 60.00
_cell_angle_gamma 60.00
loop_
_space_group_symop_operation_xyz
'x,y,z'
loop_
_atom_site_label
_atom_site_fract_x
_atom_site_fract_y
_atom_site_fract_z
Zn1 0.000 0.000 0.000
Cu1 0.250 0.250 0.250
Ni1 0.750 0.750 0.750
Cr1 0.500 0.500 0.500
# Crystal system: cubic
# Space group: F-43m (216)
# ΔH_f (0 K), kJ/mol of formula units: 34

# 4
# ZnCrCu2Ni | Alexandria via LeMat-Bulk | PBE | optimized geometry
data_ZnCrCu2Ni
_space_group_name_H-M_alt 'P 1'
_space_group_IT_number 1
_cell_length_a 4.486
_cell_length_b 4.645
_cell_length_c 4.486
_cell_angle_alpha 90.00
_cell_angle_beta 90.00
_cell_angle_gamma 90.00
loop_
_space_group_symop_operation_xyz
'x,y,z'
loop_
_atom_site_label
_atom_site_fract_x
_atom_site_fract_y
_atom_site_fract_z
Ni1 0.500 0.500 0.500
Cr1 0.000 0.000 0.000
Cu1 0.000 0.000 0.500
Cu2 0.500 0.000 0.000
Zn1 0.000 0.500 0.000
# Crystal system: tetragonal
# Space group: P4/mmm (123)
# ΔH_f (0 K), kJ/mol of formula units: 673